Density functional theory data (PBE-GGA) for a relaxed CsCa crystal.

Values from the calculation:
DOS(E_F): 1.6080 states/eV per atom
Calculated formation energy: 576 meV/atom
Total energy: -1.7 eV per formula unit

Structure (extended XYZ):
```
2
Lattice="0.000 4.353 4.353 4.353 0.000 4.353 4.353 4.353 0.000" Properties=species:S:1:pos:R:3 pbc="T T T"
Cs 0.000 0.000 0.000
Ca 4.353 4.353 4.353
```

***

Density functional theory data (PBE-GGA) for a relaxed TmHf2Ga crystal.

Values from the calculation:
ΔE to the lowest computed polymorph: 0.46 eV/f.u.
DOS(E_F): 0.8410 states/eV per atom
Calculated formation energy: -165 meV/atom
Total energy: -28.1 eV per formula unit

Structure (extended XYZ):
```
4
Lattice="4.399 0.000 0.000 0.000 4.399 0.000 0.000 0.000 4.420" Properties=species:S:1:pos:R:3 pbc="T T T"
Tm 0.000 0.000 0.000
Hf 0.000 2.200 2.210
Hf 2.200 0.000 2.210
Ga 2.200 2.200 0.000
```

***

Density functional theory data (PBE-GGA) for a relaxed Pr2Zn4NiPt3 crystal.

Values from the calculation:
DOS(E_F): 0.5211 states/eV per atom
Calculated formation energy: -659 meV/atom
Total energy: -45.1 eV per formula unit

Structure (extended XYZ):
```
10
Lattice="4.183 0.000 0.000 0.000 4.183 0.000 0.000 0.000 10.854" Properties=species:S:1:pos:R:3 pbc="T T T"
Pr 0.000 2.091 2.619
Pr 2.091 0.000 8.235
Zn 0.000 0.000 5.427
Zn 0.000 2.091 9.498
Zn 2.091 0.000 1.356
Zn 2.091 2.091 5.427
Ni 2.091 2.091 0.000
Pt 0.000 0.000 0.000
Pt 0.000 2.091 6.971
Pt 2.091 0.000 3.883
```